Crystalline NpU4S10 at its relaxed geometry. Source: the Alexandria database, functional PBE.

Lattice parameters (Å, degrees): 7.882 7.882 7.882 99.60 99.60 131.80
Fractional positions:
Np  0.000  0.000  0.000
U  0.201  0.399  0.600
U  0.399  0.799  0.199
U  0.601  0.201  0.801
U  0.799  0.601  0.400
S  0.050  0.352  0.899
S  0.151  0.050  0.698
S  0.250  0.750  0.500
S  0.352  0.453  0.302
S  0.453  0.151  0.101
S  0.547  0.849  0.899
S  0.648  0.547  0.698
S  0.750  0.250  0.500
S  0.849  0.950  0.302
S  0.950  0.648  0.101

Output
total magnetic moment = 11.00 μB/f.u.
E = -8.0052 eV/atom
DOS at the Fermi energy = 2.723 states/eV/atom
crystal system = tetragonal
formation energy without anion corrections = -1381 meV/atom